Entry 1:
! RbAg6Te4 (PBE, relaxed); values from VASP
&SYSTEM
  ibrav = 0, nat = 11, ntyp = 3
/
ATOMIC_SPECIES
Rb 85.47 Rb.upf
Ag 107.87 Ag.upf
Te 127.60 Te.upf
CELL_PARAMETERS angstrom
8.509 0.000 0.000
-4.254 7.369 0.000
0.000 0.000 4.563
ATOMIC_POSITIONS crystal
Rb 0.000 0.000 0.000
Ag 0.202 0.404 0.500
Ag 0.202 0.798 0.500
Ag 0.546 0.092 0.000
Ag 0.546 0.454 0.000
Ag 0.596 0.798 0.500
Ag 0.908 0.454 0.000
Te 0.333 0.667 0.000
Te 0.372 0.186 0.500
Te 0.814 0.186 0.500
Te 0.814 0.628 0.500
! relative energy among the computed polymorphs = 89 meV/atom
! space-group type = P-6m2
! magnetic moment = 0.00 μB per formula unit
! E_form (uncorrected) = -0.131 eV per atom

Entry 2:
! RbAgTe (PBE, relaxed); values from VASP
&SYSTEM
  ibrav = 0, nat = 3, ntyp = 3
/
ATOMIC_SPECIES
Rb 85.47 Rb.upf
Ag 107.87 Ag.upf
Te 127.60 Te.upf
CELL_PARAMETERS angstrom
4.836 0.000 0.000
-2.418 4.188 0.000
0.000 0.000 5.324
ATOMIC_POSITIONS crystal
Rb 0.000 0.000 0.000
Ag 0.333 0.667 0.500
Te 0.667 0.333 0.500
! space-group type = P-6m2
! magnetic moment = 0.00 μB per formula unit
! E_form (uncorrected) = -0.649 eV per atom

Entry 3:
! Rb4Ag5Te6 (PBE, relaxed); values from VASP
&SYSTEM
  ibrav = 0, nat = 30, ntyp = 3
/
ATOMIC_SPECIES
Rb 85.47 Rb.upf
Ag 107.87 Ag.upf
Te 127.60 Te.upf
CELL_PARAMETERS angstrom
2.453 -10.625 0.000
2.453 10.625 0.000
0.000 0.000 19.755
ATOMIC_POSITIONS crystal
Rb 0.004 0.996 0.500
Rb 0.004 0.996 0.756
Rb 0.181 0.819 0.309
Rb 0.181 0.819 0.947
Rb 0.819 0.181 0.447
Rb 0.819 0.181 0.809
Rb 0.996 0.004 0.000
Rb 0.996 0.004 0.256
Ag 0.134 0.866 0.628
Ag 0.279 0.721 0.628
Ag 0.362 0.638 0.007
Ag 0.362 0.638 0.249
Ag 0.424 0.576 0.628
Ag 0.576 0.424 0.128
Ag 0.638 0.362 0.507
Ag 0.638 0.362 0.749
Ag 0.721 0.279 0.128
Ag 0.866 0.134 0.128
Te 0.138 0.862 0.128
Te 0.205 0.795 0.752
Te 0.206 0.794 0.505
Te 0.433 0.567 0.881
Te 0.434 0.566 0.375
Te 0.444 0.556 0.128
Te 0.556 0.444 0.628
Te 0.566 0.434 0.875
Te 0.567 0.433 0.381
Te 0.794 0.206 0.005
Te 0.795 0.205 0.252
Te 0.862 0.138 0.628
! space-group type = Cmc2_1
! magnetic moment = 0.00 μB per formula unit
! E_form (uncorrected) = -0.490 eV per atom

Entry 4:
! Rb2Ag12Te7 (PBE, relaxed); values from VASP
&SYSTEM
  ibrav = 0, nat = 21, ntyp = 3
/
ATOMIC_SPECIES
Rb 85.47 Rb.upf
Ag 107.87 Ag.upf
Te 127.60 Te.upf
CELL_PARAMETERS angstrom
11.585 0.000 0.000
-5.792 10.032 0.000
0.000 0.000 4.784
ATOMIC_POSITIONS crystal
Rb 0.333 0.667 0.265
Rb 0.667 0.333 0.735
Ag 0.065 0.380 0.695
Ag 0.104 0.246 0.182
Ag 0.141 0.896 0.182
Ag 0.246 0.141 0.818
Ag 0.315 0.935 0.695
Ag 0.380 0.315 0.305
Ag 0.620 0.685 0.695
Ag 0.685 0.065 0.305
Ag 0.754 0.859 0.182
Ag 0.859 0.104 0.818
Ag 0.896 0.754 0.818
Ag 0.935 0.620 0.305
Te 0.000 0.000 0.500
Te 0.096 0.676 0.782
Te 0.324 0.421 0.782
Te 0.421 0.096 0.218
Te 0.579 0.904 0.782
Te 0.676 0.579 0.218
Te 0.904 0.324 0.218
! space-group type = P-3
! magnetic moment = 0.00 μB per formula unit
! E_form (uncorrected) = -0.227 eV per atom

Entry 5:
! RbAg8Te6 (PBE, relaxed); values from VASP
&SYSTEM
  ibrav = 0, nat = 15, ntyp = 3
/
ATOMIC_SPECIES
Rb 85.47 Rb.upf
Ag 107.87 Ag.upf
Te 127.60 Te.upf
CELL_PARAMETERS angstrom
3.823 2.207 9.526
-3.823 2.207 9.526
0.000 -4.415 9.526
ATOMIC_POSITIONS crystal
Rb 0.000 0.000 0.000
Ag 0.119 0.827 0.624
Ag 0.173 0.376 0.881
Ag 0.376 0.881 0.173
Ag 0.442 0.442 0.442
Ag 0.558 0.558 0.558
Ag 0.624 0.119 0.827
Ag 0.827 0.624 0.119
Ag 0.881 0.173 0.376
Te 0.049 0.757 0.465
Te 0.243 0.535 0.951
Te 0.465 0.049 0.757
Te 0.535 0.951 0.243
Te 0.757 0.465 0.049
Te 0.951 0.243 0.535
! space-group type = R-3
! magnetic moment = 0.00 μB per formula unit
! E_form (uncorrected) = -0.113 eV per atom

Entry 6:
! Rb2AgTe2 (PBE, relaxed); values from VASP
&SYSTEM
  ibrav = 0, nat = 5, ntyp = 3
/
ATOMIC_SPECIES
Rb 85.47 Rb.upf
Ag 107.87 Ag.upf
Te 127.60 Te.upf
CELL_PARAMETERS angstrom
5.258 0.000 0.000
0.000 2.268 8.171
0.000 -2.268 8.171
ATOMIC_POSITIONS crystal
Rb 0.000 0.000 0.000
Rb 0.000 0.233 0.233
Ag 0.500 0.427 0.427
Te 0.500 0.594 0.594
Te 0.500 0.833 0.833
! relative energy among the computed polymorphs = 39 meV/atom
! space-group type = Amm2
! magnetic moment = 0.00 μB per formula unit
! E_form (uncorrected) = -0.632 eV per atom

no.,ρ (g cm⁻³)
1,7.216
2,4.941
3,5.311
4,7.044
5,5.900
6,4.550